Material: Pm5GeS4
Method: DFT, PBE
State: optimized geometry

Values from the calculation:
**Uncorrected formation energy**: -1774 kJ/mol of formula units
**Space group**: I4/m
**Total DFT energy (no corrections)**: -6.327 eV per atom

a b c (Å): 7.0852 7.0852 7.0852
angles (deg): 99.54 99.54 131.95
With the nearest neighbours (Å) after each atom.
Atoms (fractional coordinates):
Pm (0.0000, 0.0000, 0.0000)  2 Ge 2.88, 4 S 2.90
Pm (0.1990, 0.4001, 0.5991)  5 S 2.88-2.90, 1 Ge 2.90
Pm (0.4001, 0.8010, 0.2011)  5 S 2.88-2.90, 1 Ge 2.90
Pm (0.5999, 0.1990, 0.7989)  5 S 2.88-2.90, 1 Ge 2.90
Pm (0.8010, 0.5999, 0.4009)  5 S 2.88-2.90, 1 Ge 2.90
Ge (0.5000, 0.5000, 0.0000)  6 Pm 2.88-2.90
S (0.1017, 0.6994, 0.8010)  6 Pm 2.88-2.90
S (0.3006, 0.1017, 0.4023)  6 Pm 2.88-2.90
S (0.6994, 0.8983, 0.5977)  6 Pm 2.88-2.90
S (0.8983, 0.3006, 0.1990)  6 Pm 2.88-2.90